Entry from the Alexandria database: crystalline NaMnOF2 at its relaxed geometry (GGA+U).

```
NaMnOF2
1.0
4.134 0.000 0.000
0.000 4.134 0.000
0.000 0.000 3.746
Na Mn O F
1 1 1 2
Direct
0.000 0.000 0.000
0.500 0.500 0.500
0.500 0.500 0.000
0.000 0.500 0.500
0.500 0.000 0.500
```

Summary:
Magnetization (μB/cell): 4.0
SG: No. 123
Energy relative to the lowest polymorph listed for this composition (meV per atom): 0